# 1
## CeTmHgPb (PBE)

Data for an optimized crystal structure of CeTmHgPb.

Cell and atoms, written as POSCAR:
```
CeTmHgPb
1.0
0.0000 3.8112 3.8112
3.8112 0.0000 3.8112
3.8112 3.8112 0.0000
Ce Tm Hg Pb
1 1 1 1
Direct
0.0000 0.0000 0.0000 Ce
0.5000 0.5000 0.5000 Tm
0.7500 0.7500 0.7500 Hg
0.2500 0.2500 0.2500 Pb
```

Output
- Space group: F-43m
- Calculated formation energy: -0.37 eV per atom
- Raw total energy: -0.1461 Ha/atom

***

# 2
## CeYHgPb (PBE)

Data for an optimized crystal structure of CeYHgPb.

Cell and atoms, written as POSCAR:
```
CeYHgPb
1.0
0.0000 3.8355 3.8355
3.8355 0.0000 3.8355
3.8355 3.8355 0.0000
Ce Y Hg Pb
1 1 1 1
Direct
0.0000 0.0000 0.0000 Ce
0.5000 0.5000 0.5000 Y
0.7500 0.7500 0.7500 Hg
0.2500 0.2500 0.2500 Pb
```

Output
- Space group: F-43m
- Calculated formation energy: -0.41 eV per atom
- Raw total energy: -0.1659 Ha/atom

***

# 3
## CeZnHgPb (PBE)

Data for an optimized crystal structure of CeZnHgPb.

Cell and atoms, written as POSCAR:
```
CeZnHgPb
1.0
0.0000 3.6936 3.6936
3.6936 0.0000 3.6936
3.6936 3.6936 0.0000
Ce Zn Hg Pb
1 1 1 1
Direct
0.0000 0.0000 0.0000 Ce
0.2500 0.2500 0.2500 Zn
0.7500 0.7500 0.7500 Hg
0.5000 0.5000 0.5000 Pb
```

Output
- Space group: F-43m
- Calculated formation energy: -0.20 eV per atom
- Raw total energy: -0.1106 Ha/atom